Material: NdDyNi4O12
Method: DFT, PBE+U
State: optimized geometry

Unit cell a=5.3801 b=5.3801 c=7.3011 alpha=90.00 beta=90.00 gamma=94.94
Closest atoms and distances in Å follow each position.
Sites, in units of the cell vectors:
O  0.7407  0.2593  0.3166  2 Ni 1.92
Dy  0.5075  0.4925  0.5000  8 O 2.28-2.51
Ni  0.4960  0.9940  0.7489  6 O 1.88-1.99
O  0.7407  0.2593  0.6834  2 Ni 1.92
O  0.4406  0.9046  0.5000  2 Ni 1.90
Nd  0.9924  0.0076  0.0000  8 O 2.38-2.65
O  0.5588  0.0775  0.0000  2 Ni 1.91
Ni  0.4960  0.9940  0.2511  6 O 1.88-1.99
Ni  0.0060  0.5040  0.7489  6 O 1.88-1.99
O  0.2548  0.2521  0.2601  2 Ni 1.98-1.99
Ni  0.0060  0.5040  0.2511  6 O 1.88-1.99
O  0.7479  0.7452  0.2601  2 Ni 1.98-1.99
O  0.2548  0.2521  0.7399  2 Ni 1.98-1.99
O  0.9225  0.4412  0.0000  2 Ni 1.91
O  0.2491  0.7509  0.8315  2 Ni 1.88
O  0.2491  0.7509  0.1685  2 Ni 1.88
O  0.0954  0.5594  0.5000  2 Ni 1.90
O  0.7479  0.7452  0.7399  2 Ni 1.98-1.99

Values from the calculation:
VASP energy = -5.354 eV per atom